Computed, not measured: PaTiBr6 after structural relaxation at the PBE-GGA level of DFT.

It has space group C2/m (No. 12), with a = 6.6859 Å, b = 13.6457 Å, c = 6.6889 Å, α = 90.00°, β = 109.37° and γ = 90.00°. The asymmetric unit holds Pa at (0.0000, 0.0000, 0.0000), Ti at (0.0000, 0.5000, 0.5000), Br at (0.2355, 0.3572, 0.7359) and Br at (0.2439, 0.5000, 0.2565).

As for the crystal system: monoclinic. The uncorrected formation energy comes out at -1.28 eV/atom.